# KHoTcN3 | Alexandria | PBE | relaxed
# Uncorrected formation energy = -488 meV per atom
# Space-group type = C2/m
data_KHoTcN3
_chemical_formula_sum 'K2 Ho2 Tc2 N6'
_symmetry_space_group_name_H-M 'P 1'
_symmetry_Int_Tables_number 1
_symmetry_space_group_name_Hall 'P 1'
_cell_length_a 6.9845
_cell_length_b 6.9845
_cell_length_c 7.7353
_cell_angle_alpha 103.87
_cell_angle_beta 103.87
_cell_angle_gamma 32.12
loop_
_atom_site_label
_atom_site_type_symbol
_atom_site_fract_x
_atom_site_fract_y
_atom_site_fract_z
K1 K 0.1436 0.1436 0.0718
K2 K 0.8564 0.8564 0.9282
Ho1 Ho 0.1618 0.1618 0.5684
Ho2 Ho 0.8382 0.8382 0.4316
Tc1 Tc 0.4993 0.4993 0.6742
Tc2 Tc 0.5007 0.5007 0.3258
N1 N 0.0113 0.0113 0.3253
N2 N 0.3372 0.3372 0.6176
N3 N 0.3628 0.3628 0.2168
N4 N 0.6372 0.6372 0.7832
N5 N 0.6628 0.6628 0.3824
N6 N 0.9887 0.9887 0.6747

***

# KHoWN3 | Alexandria | PBE | relaxed
# Uncorrected formation energy = -636 meV per atom
# Space-group type = C2/m
data_KHoWN3
_chemical_formula_sum 'K2 Ho2 W2 N6'
_symmetry_space_group_name_H-M 'P 1'
_symmetry_Int_Tables_number 1
_symmetry_space_group_name_Hall 'P 1'
_cell_length_a 7.0013
_cell_length_b 7.0013
_cell_length_c 7.8931
_cell_angle_alpha 103.62
_cell_angle_beta 103.62
_cell_angle_gamma 32.36
loop_
_atom_site_label
_atom_site_type_symbol
_atom_site_fract_x
_atom_site_fract_y
_atom_site_fract_z
K1 K 0.1482 0.1482 0.0684
K2 K 0.8518 0.8518 0.9316
Ho1 Ho 0.1626 0.1626 0.5871
Ho2 Ho 0.8374 0.8374 0.4129
W1 W 0.4920 0.4920 0.6757
W2 W 0.5080 0.5080 0.3243
N1 N 0.0130 0.0130 0.3443
N2 N 0.3381 0.3381 0.6366
N3 N 0.3635 0.3635 0.2208
N4 N 0.6365 0.6365 0.7792
N5 N 0.6619 0.6619 0.3634
N6 N 0.9870 0.9870 0.6557

***

# K2NaHo | Alexandria | PBE | relaxed
# E_form = 0.379 eV per atom
# Space-group type = R-3m
data_K2NaHo
_chemical_formula_sum 'K2 Na1 Ho1'
_symmetry_space_group_name_H-M 'P 1'
_symmetry_Int_Tables_number 1
_symmetry_space_group_name_Hall 'P 1'
_cell_length_a 14.7584
_cell_length_b 14.7584
_cell_length_c 14.7584
_cell_angle_alpha 14.58
_cell_angle_beta 14.58
_cell_angle_gamma 14.58
loop_
_atom_site_label
_atom_site_type_symbol
_atom_site_fract_x
_atom_site_fract_y
_atom_site_fract_z
K1 K 0.0843 0.0843 0.0843
K2 K 0.9157 0.9157 0.9157
Na1 Na 0.5000 0.5000 0.5000
Ho1 Ho 0.0000 0.0000 0.0000